# 1
Entry from Alexandria: P2SBrF after structural relaxation (PBE).

Cell lengths 4.9786, 4.9786, 4.7536 Å; angles 90.00, 90.00, 90.00 degrees
Closest atoms and distances in Å follow each position.
Space group P4/mmm (No. 123)
Symmetry-distinct sites (fractional):
P (0.0000, 0.5000, 0.0000) (multiplicity 2)  2 Br 2.49
S (0.0000, 0.0000, 0.5000) (multiplicity 1)  2 Br 2.38
Br (0.0000, 0.0000, 0.0000) (multiplicity 1)  2 S 2.38, 4 P 2.49
F (0.5000, 0.5000, 0.5000) (multiplicity 1)  8 P 3.44, 4 S 3.52

## Properties
The value obtained for the volume is 117.8 Å³ per cell. The value obtained for the uncorrected formation energy is 1.351 eV/atom. Its crystal system is tetragonal. The total energy is -2.347 eV/atom.

=====

# 2
Entry from Alexandria: P2SBrF after structural relaxation (PBE).

Cell lengths 4.0039, 4.0039, 7.4073 Å; angles 90.00, 90.00, 90.00 degrees
Closest atoms and distances in Å follow each position.
Space group P4/mmm (No. 123)
Symmetry-distinct sites (fractional):
P (0.0000, 0.5000, 0.0000) (multiplicity 2)  2 F 2.00
S (0.0000, 0.0000, 0.5000) (multiplicity 1)  4 Br 2.83
Br (0.5000, 0.5000, 0.5000) (multiplicity 1)  4 S 2.83
F (0.0000, 0.0000, 0.0000) (multiplicity 1)  4 P 2.00

## Properties
The value obtained for the volume is 118.7 Å³ per cell. The value obtained for the uncorrected formation energy is 0.901 eV/atom. Its crystal system is tetragonal. The total energy is -2.797 eV/atom.

=====

# 3
Entry from Alexandria: PSeBr2F after structural relaxation (PBE).

Cell lengths 4.9687, 4.9687, 4.9665 Å; angles 90.00, 90.00, 90.00 degrees
Closest atoms and distances in Å follow each position.
Space group P4/mmm (No. 123)
Symmetry-distinct sites (fractional):
P (0.0000, 0.0000, 0.0000) (multiplicity 1)  2 Se 2.48, 4 Br 2.48
Se (0.0000, 0.0000, 0.5000) (multiplicity 1)  2 P 2.48
Br (0.0000, 0.5000, 0.0000) (multiplicity 2)  2 P 2.48
F (0.5000, 0.5000, 0.5000) (multiplicity 1)  8 Br 3.51, 4 Se 3.51

## Properties
The value obtained for the volume is 122.6 Å³ per cell. The value obtained for the uncorrected formation energy is 0.213 eV/atom. Its crystal system is tetragonal. The total energy is -2.610 eV/atom.